Compound: PrBMoC2
Source: the Open Quantum Materials Database
Functional: PBE
Structure: optimized geometry

Results
Magnetic moment: 0.02 μB/cell
Electronic total energy: -78.86 eV for the cell shown

a b c (Å): 5.162 5.073 5.444
angles (deg): 90.00 105.64 90.00
Space group Cm (No. 8)
Unique sites:
Pr: 0.000 0.000 0.000 (multiplicity 2)
B: 0.100 0.500 0.252 (multiplicity 2)
Mo: 0.411 0.000 0.591 (multiplicity 2)
C: 0.005 0.500 0.971 (multiplicity 2)
C: 0.297 0.500 0.516 (multiplicity 2)